Entry 1:
Density functional theory data (PBE-GGA) for crystalline CsRb5 at its relaxed geometry.

Lattice parameters (Å, degrees): 8.1398 8.1398 9.7984 90.00 90.00 120.00
Closest atoms and distances in Å follow each position.
Sites, in units of the cell vectors:
Cs  0.0000  0.0000  0.0000  14 Rb 4.90-5.32
Rb  0.0000  0.0000  0.5000  2 Cs 4.90, 12 Rb 5.28
Rb  0.3333  0.6667  0.2551  5 Rb 4.70-5.00
Rb  0.3333  0.6667  0.7449  5 Rb 4.70-5.00
Rb  0.6667  0.3333  0.2551  5 Rb 4.70-5.00
Rb  0.6667  0.3333  0.7449  5 Rb 4.70-5.00

Summary:
Mass density = 1.7 g cm⁻³
Energy relative to the lowest polymorph listed for this composition = 4 kJ/mol of formula units

=====

Entry 2:
Density functional theory data (PBE-GGA) for crystalline Cs4Rb at its relaxed geometry.

Lattice parameters (Å, degrees): 13.6670 10.1439 15.6345 59.59 39.80 80.61
Closest atoms and distances in Å follow each position.
Sites, in units of the cell vectors:
Cs  0.1123  0.8433  0.0863  9 Cs 5.14-5.61, 2 Rb 5.23-5.64
Cs  0.1637  0.2920  0.1377  9 Cs 5.14-5.61, 2 Rb 5.23-5.64
Cs  0.2785  0.7215  0.3255  3 Rb 5.11-5.44, 8 Cs 5.14-5.61
Cs  0.2920  0.1637  0.4067  9 Cs 5.14-5.61, 2 Rb 5.23-5.64
Cs  0.5755  0.9245  0.5285  3 Rb 5.11-5.44, 8 Cs 5.14-5.61
Cs  0.7215  0.2785  0.6745  3 Rb 5.11-5.44, 8 Cs 5.14-5.61
Cs  0.8433  0.1123  0.9580  9 Cs 5.14-5.61, 2 Rb 5.23-5.64
Cs  0.9245  0.5755  0.9715  3 Rb 5.11-5.44, 8 Cs 5.14-5.61
Rb  0.4534  0.4534  0.5466  10 Cs 5.11-5.64
Rb  0.7034  0.7034  0.7966  10 Cs 5.11-5.64

Summary:
Mass density = 1.9 g cm⁻³
Energy relative to the lowest polymorph listed for this composition = 0 kJ/mol of formula units

=====

Entry 3:
Density functional theory data (PBE-GGA) for crystalline Cs4Rb3 at its relaxed geometry.

Lattice parameters (Å, degrees): 19.0241 19.0241 19.0241 164.13 157.54 27.62
Closest atoms and distances in Å follow each position.
Sites, in units of the cell vectors:
Cs  0.0709  0.0709  0.0000  4 Cs 5.23-5.25, 8 Rb 5.23-5.24
Cs  0.2124  0.2124  0.0000  7 Cs 5.23-5.32, 5 Rb 5.25-5.40
Cs  0.7876  0.7876  0.0000  7 Cs 5.23-5.32, 5 Rb 5.25-5.40
Cs  0.9291  0.9291  0.0000  4 Cs 5.23-5.25, 8 Rb 5.23-5.24
Rb  0.3587  0.3587  0.0000  3 Rb 5.22-5.25, 9 Cs 5.23-5.40
Rb  0.5000  0.5000  0.0000  4 Rb 5.22-5.25, 8 Cs 5.24
Rb  0.6413  0.6413  0.0000  3 Rb 5.22-5.25, 9 Cs 5.23-5.40

Summary:
Mass density = 1.8 g cm⁻³

=====

Entry 4:
Density functional theory data (PBE-GGA) for crystalline Cs2Rb3 at its relaxed geometry.

Lattice parameters (Å, degrees): 9.2074 9.2074 9.2074 130.34 113.25 87.59
Closest atoms and distances in Å follow each position.
Sites, in units of the cell vectors:
Cs  0.1972  0.1972  0.0000  6 Rb 4.89-5.20, 1 Cs 5.24
Cs  0.8028  0.8028  0.0000  6 Rb 4.89-5.20, 1 Cs 5.24
Rb  0.2257  0.5000  0.7257  3 Rb 4.57-4.76, 2 Cs 4.89
Rb  0.5000  0.0000  0.5000  4 Rb 4.76
Rb  0.7743  0.5000  0.2743  3 Rb 4.57-4.76, 2 Cs 4.89

Summary:
Mass density = 1.7 g cm⁻³
Energy relative to the lowest polymorph listed for this composition = 0 kJ/mol of formula units

=====

Entry 5:
Density functional theory data (PBE-GGA) for crystalline CsRb7 at its relaxed geometry.

Lattice parameters (Å, degrees): 10.1523 10.1523 10.1523 60.00 60.00 60.00
Closest atoms and distances in Å follow each position.
Sites, in units of the cell vectors:
Cs  0.0000  0.0000  0.0000  12 Rb 5.08
Rb  0.0000  0.0000  0.5000  10 Rb 5.08, 2 Cs 5.08
Rb  0.0000  0.5000  0.0000  10 Rb 5.08, 2 Cs 5.08
Rb  0.0000  0.5000  0.5000  10 Rb 5.08, 2 Cs 5.08
Rb  0.5000  0.0000  0.0000  10 Rb 5.08, 2 Cs 5.08
Rb  0.5000  0.0000  0.5000  10 Rb 5.08, 2 Cs 5.08
Rb  0.5000  0.5000  0.0000  10 Rb 5.08, 2 Cs 5.08
Rb  0.5000  0.5000  0.5000  12 Rb 5.08

Summary:
Mass density = 1.6 g cm⁻³

=====

Entry 6:
Density functional theory data (PBE-GGA) for crystalline Cs2Rb at its relaxed geometry.

Lattice parameters (Å, degrees): 9.9071 9.9071 9.9071 145.19 145.19 50.05
Closest atoms and distances in Å follow each position.
Sites, in units of the cell vectors:
Cs  0.1597  0.1597  0.0000  4 Rb 5.08, 4 Cs 5.30
Cs  0.8403  0.8403  0.0000  4 Rb 5.08, 4 Cs 5.30
Rb  0.5000  0.5000  0.0000  8 Cs 5.08

Summary:
Mass density = 1.8 g cm⁻³
Energy relative to the lowest polymorph listed for this composition = 0 kJ/mol of formula units

=====

Entry 7:
Density functional theory data (PBE-GGA) for crystalline Cs2Rb17 at its relaxed geometry.

Lattice parameters (Å, degrees): 12.3752 12.3752 12.3752 81.40 81.40 81.40
Closest atoms and distances in Å follow each position.
Sites, in units of the cell vectors:
Cs  0.1737  0.1737  0.1737  13 Rb 5.58-5.90
Cs  0.8263  0.8263  0.8263  13 Rb 5.58-5.90
Rb  0.0000  0.5000  0.5000  10 Rb 4.74-4.95
Rb  0.1426  0.1426  0.6553  8 Rb 4.64-5.19
Rb  0.1426  0.6553  0.1426  8 Rb 4.64-5.19
Rb  0.1987  0.5000  0.8013  8 Rb 4.76-5.19
Rb  0.1987  0.8013  0.5000  8 Rb 4.76-5.19
Rb  0.3447  0.8574  0.8574  8 Rb 4.64-5.19
Rb  0.4022  0.4022  0.4022  7 Rb 4.78-5.25
Rb  0.5000  0.0000  0.5000  10 Rb 4.74-4.95
Rb  0.5000  0.1987  0.8013  8 Rb 4.76-5.19
Rb  0.5000  0.5000  0.0000  10 Rb 4.74-4.95
Rb  0.5000  0.8013  0.1987  8 Rb 4.76-5.19
Rb  0.5978  0.5978  0.5978  7 Rb 4.78-5.25
Rb  0.6553  0.1426  0.1426  8 Rb 4.64-5.19
Rb  0.8013  0.1987  0.5000  8 Rb 4.76-5.19
Rb  0.8013  0.5000  0.1987  8 Rb 4.76-5.19
Rb  0.8574  0.3446  0.8574  8 Rb 4.64-5.19
Rb  0.8574  0.8573  0.3447  8 Rb 4.64-5.19

Summary:
Mass density = 1.6 g cm⁻³

=====

Entry 8:
Density functional theory data (PBE-GGA) for crystalline Cs11Rb3 at its relaxed geometry.

Lattice parameters (Å, degrees): 14.6933 14.6933 14.6933 146.23 115.98 74.37
Closest atoms and distances in Å follow each position.
Sites, in units of the cell vectors:
Cs  0.0000  0.0000  0.0000  4 Rb 5.21, 4 Cs 5.72
Cs  0.1291  0.2854  0.8437  7 Cs 4.87-5.43
Cs  0.1755  0.6755  0.5000  2 Rb 5.08, 6 Cs 5.43-5.55
Cs  0.2308  0.8974  0.3334  5 Cs 4.80-5.19, 2 Rb 5.37
Cs  0.4360  0.1026  0.3334  5 Cs 4.80-5.19, 2 Rb 5.37
Cs  0.4418  0.2854  0.1563  7 Cs 4.87-5.43
Cs  0.5582  0.7146  0.8437  7 Cs 4.87-5.43
Cs  0.5640  0.8974  0.6666  5 Cs 4.80-5.19, 2 Rb 5.37
Cs  0.7692  0.1026  0.6666  5 Cs 4.80-5.19, 2 Rb 5.37
Cs  0.8245  0.3245  0.5000  2 Rb 5.08, 6 Cs 5.43-5.55
Cs  0.8709  0.7146  0.1563  7 Cs 4.87-5.43
Rb  0.1917  0.5000  0.6917  1 Rb 4.80, 8 Cs 5.08-5.37
Rb  0.5000  0.5000  0.0000  2 Rb 4.80
Rb  0.8083  0.5000  0.3083  1 Rb 4.80, 8 Cs 5.08-5.37

Summary:
Mass density = 1.8 g cm⁻³

=====

Entry 9:
Density functional theory data (PBE-GGA) for crystalline Cs3Rb2 at its relaxed geometry.

Lattice parameters (Å, degrees): 13.4883 9.9559 15.4071 59.75 39.61 80.64
Closest atoms and distances in Å follow each position.
Sites, in units of the cell vectors:
Cs  0.0000  0.0000  0.0000  6 Rb 5.05-5.24, 4 Cs 5.30-5.44
Cs  0.2500  0.2500  0.2500  6 Rb 5.05-5.24, 4 Cs 5.30-5.44
Cs  0.4237  0.5589  0.3733  6 Rb 5.06-5.58, 5 Cs 5.12-5.44
Cs  0.5589  0.4237  0.6441  6 Rb 5.06-5.58, 5 Cs 5.12-5.44
Cs  0.6059  0.8767  0.6911  6 Rb 5.06-5.58, 5 Cs 5.12-5.44
Cs  0.8767  0.6059  0.8263  6 Rb 5.06-5.58, 5 Cs 5.12-5.44
Rb  0.1440  0.7757  0.2594  9 Cs 5.05-5.58, 2 Rb 5.31
Rb  0.4291  0.9906  0.4743  9 Cs 5.05-5.58, 2 Rb 5.31
Rb  0.7757  0.1440  0.8209  9 Cs 5.05-5.58, 2 Rb 5.31
Rb  0.9906  0.4291  0.1060  9 Cs 5.05-5.58, 2 Rb 5.31

Summary:
Mass density = 1.8 g cm⁻³
Energy relative to the lowest polymorph listed for this composition = 0 kJ/mol of formula units

=====

Entry 10:
Density functional theory data (PBE-GGA) for crystalline Cs3Rb13 at its relaxed geometry.

Lattice parameters (Å, degrees): 11.4348 11.4248 11.4248 89.93 90.00 90.00
Closest atoms and distances in Å follow each position.
Sites, in units of the cell vectors:
Cs  0.0000  0.0000  0.0000  6 Rb 4.93-5.01, 2 Cs 5.11
Cs  0.2527  0.2607  0.2607  7 Rb 4.98-5.07, 1 Cs 5.11
Cs  0.7473  0.2607  0.2607  7 Rb 4.98-5.07, 1 Cs 5.11
Rb  0.0000  0.0004  0.5129  6 Rb 4.89-4.99, 2 Cs 5.05
Rb  0.0000  0.5129  0.0004  6 Rb 4.89-4.99, 2 Cs 5.05
Rb  0.0000  0.5147  0.5147  6 Rb 4.83-4.93, 2 Cs 5.02
Rb  0.2537  0.2608  0.7546  7 Rb 4.88-4.99, 1 Cs 5.01
Rb  0.2536  0.7537  0.7537  7 Rb 4.79-4.89, 1 Cs 4.93
Rb  0.2537  0.7546  0.2608  7 Rb 4.88-4.99, 1 Cs 5.01
Rb  0.5000  0.0008  0.0008  6 Rb 4.89-4.96, 2 Cs 5.07
Rb  0.5000  0.0010  0.5147  6 Rb 4.83-4.93, 2 Cs 5.02
Rb  0.5000  0.5142  0.5142  6 Rb 4.79-4.88, 2 Cs 4.98
Rb  0.5000  0.5147  0.0010  6 Rb 4.83-4.93, 2 Cs 5.02
Rb  0.7463  0.2608  0.7546  7 Rb 4.88-4.99, 1 Cs 5.01
Rb  0.7464  0.7537  0.7537  7 Rb 4.79-4.89, 1 Cs 4.93
Rb  0.7463  0.7546  0.2608  7 Rb 4.88-4.99, 1 Cs 5.01

Summary:
Mass density = 1.7 g cm⁻³

=====

Number 1: energy relative to the elements 12 meV/atom, density of states at the Fermi level 5.7 states/eV per cell, E -5.6 eV/cell. Number 2: energy relative to the elements 10 meV/atom, density of states at the Fermi level 12.5 states/eV per cell, E -8.7 eV/cell. Number 3: energy relative to the elements 2 meV/atom, density of states at the Fermi level 6.8 states/eV per cell, E -6.3 eV/cell. Number 4: energy relative to the elements 33 meV/atom, density of states at the Fermi level 5.0 states/eV per cell, E -4.4 eV/cell. Number 5: energy relative to the elements 6 meV/atom, density of states at the Fermi level 8.9 states/eV per cell, E -7.6 eV/cell. Number 6: energy relative to the elements 1 meV/atom, density of states at the Fermi level 3.1 states/eV per cell, E -2.7 eV/cell. Number 7: energy relative to the elements 29 meV/atom, density of states at the Fermi level 17.5 states/eV per cell, E -17.6 eV/cell. Number 8: energy relative to the elements 21 meV/atom, density of states at the Fermi level 16.1 states/eV per cell, E -12.0 eV/cell. Number 9: energy relative to the elements 8 meV/atom, density of states at the Fermi level 10.7 states/eV per cell, E -8.9 eV/cell. Number 10: energy relative to the elements 6 meV/atom, density of states at the Fermi level 14.1 states/eV per cell, E -15.0 eV/cell.